(1)
The following is a DFT calculation (GGA-PBE) of Tc2RuRh after structural relaxation.

Output
For the energy of formation from the pure elements, the calculation gives -0.036 eV/atom. Its space-group type is R3m, No. 160. The offset from the most stable computed form comes out at 0.096 eV/atom.

Cell and atoms, written as POSCAR:
```
Tc2RuRh
1.0
-2.280 -0.889 1.220
2.566 -2.987 2.624
2.455 6.158 6.025
Tc Ru Rh
4 2 2
Direct
0.168 0.689 0.822 Tc
0.917 0.106 0.321 Tc
0.417 0.606 0.321 Tc
0.668 0.189 0.822 Tc
0.541 0.898 0.566 Ru
0.041 0.398 0.566 Ru
0.295 0.981 0.075 Rh
0.795 0.481 0.075 Rh
```

***

(2)
The following is a DFT calculation (GGA-PBE) of PrHoAlGa after structural relaxation.

Output
For the energy of formation from the pure elements, the calculation gives -0.450 eV/atom. Its space-group type is F-43m, No. 216. The offset from the most stable computed form comes out at 0.029 eV/atom.

Cell and atoms, written as POSCAR:
```
PrHoAlGa
1.0
-3.342 2.312 3.207
0.049 -1.138 5.050
1.694 3.494 3.424
Pr Ho Ga Al
1 1 1 1
Direct
0.500 0.500 0.500 Pr
0.000 0.000 0.000 Ho
0.250 0.250 0.250 Ga
0.750 0.750 0.750 Al
```

***

(3)
The following is a DFT calculation (GGA-PBE) of Cs6Rb5Na after structural relaxation.

Output
For the energy of formation from the pure elements, the calculation gives 0.009 eV/atom. Its space-group type is C2/m, No. 12.

Cell and atoms, written as POSCAR:
```
Cs6Rb5Na
1.0
-3.776 -6.782 0.863
-2.884 4.503 -12.658
13.351 -2.693 1.819
Cs Na Rb
6 1 5
Direct
0.226 0.069 0.382 Cs
0.774 0.618 0.931 Cs
0.705 0.205 0.205 Cs
0.295 0.795 0.795 Cs
0.226 0.382 0.069 Cs
0.774 0.931 0.618 Cs
0.000 0.000 0.000 Na
0.500 0.190 0.810 Rb
0.000 0.346 0.654 Rb
0.500 0.500 0.500 Rb
0.000 0.654 0.346 Rb
0.500 0.810 0.190 Rb
```

***

(4)
The following is a DFT calculation (GGA-PBE) of Be3ZnCu after structural relaxation.

Output
For the energy of formation from the pure elements, the calculation gives 0.629 eV/atom. Its space-group type is Pm-3m, No. 221. The offset from the most stable computed form comes out at 0.000 eV/atom.

Cell and atoms, written as POSCAR:
```
Be3ZnCu
1.0
4.041 0.000 0.000
0.000 4.041 0.000
0.000 0.000 4.041
Be Zn Cu
3 1 1
Direct
0.000 0.500 0.000 Be
0.000 0.000 0.500 Be
0.500 0.000 0.000 Be
0.500 0.500 0.500 Zn
0.000 0.000 0.000 Cu
```

***

Please write out number 1 again, unchanged.
The following is a DFT calculation (GGA-PBE) of Tc2RuRh after structural relaxation.

Output
For the energy of formation from the pure elements, the calculation gives -0.036 eV/atom. Its space-group type is R3m, No. 160. The offset from the most stable computed form comes out at 0.096 eV/atom.

Cell and atoms, written as POSCAR:
```
Tc2RuRh
1.0
-2.280 -0.889 1.220
2.566 -2.987 2.624
2.455 6.158 6.025
Tc Ru Rh
4 2 2
Direct
0.168 0.689 0.822 Tc
0.917 0.106 0.321 Tc
0.417 0.606 0.321 Tc
0.668 0.189 0.822 Tc
0.541 0.898 0.566 Ru
0.041 0.398 0.566 Ru
0.295 0.981 0.075 Rh
0.795 0.481 0.075 Rh
```